(w)
Compound: BaNa2Te2
Source: the Alexandria database
Functional: PBE
Structure: relaxed

extended XYZ file:
```
5
Lattice="4.629 0.000 0.000 0.000 4.629 0.000 2.314 2.314 8.008" Properties=species:S:1:pos:R:3 pbc="T T T"
Te 4.629 4.629 6.074
Te 2.314 2.314 1.934
Ba 0.000 0.000 0.000
Na 4.629 2.314 4.004
Na 2.314 4.629 4.004
```

Properties
* total magnetization: 0.00 μB/f.u.
* space group: I4/mmm, No. 139
* DOS at the Fermi energy: 0.0 states/eV per cell

(x)
Compound: BaNa2Te2
Source: the Alexandria database
Functional: PBE
Structure: relaxed

extended XYZ file:
```
10
Lattice="-0.169 2.454 8.389 6.219 -5.861 1.840 2.905 2.840 -0.772" Properties=species:S:1:pos:R:3 pbc="T T T"
Na 0.612 0.835 5.372
Na 2.374 -1.973 1.674
Na 5.438 -4.242 4.857
Na 3.676 -1.434 8.555
Ba 0.000 0.000 0.000
Ba 3.025 -1.704 5.114
Te 2.559 1.096 2.587
Te 3.264 1.579 7.015
Te 5.691 -2.146 2.442
Te 6.396 -1.663 6.870
```

Properties
* total magnetization: 0.00 μB/f.u.
* space group: P4/mbm, No. 127
* DOS at the Fermi energy: 0.0 states/eV per cell

Which structure is the most stable? The one labeled (w).

(w)
Compound: BaNa3Te
Source: the Alexandria database
Functional: PBE
Structure: relaxed

extended XYZ file:
```
5
Lattice="6.579 0.000 0.000 0.000 6.579 0.000 0.000 0.000 6.579" Properties=species:S:1:pos:R:3 pbc="T T T"
Te 3.289 3.289 3.289
Na 0.000 0.000 3.289
Na 0.000 3.289 0.000
Na 3.289 0.000 0.000
Ba 0.000 0.000 0.000
```

Properties
* total magnetization: 1.00 μB/f.u.
* space group: Pm-3m, No. 221
* DOS at the Fermi energy: 4.8 states/eV per cell

(x)
Compound: BaNa3Te
Source: the Alexandria database
Functional: PBE
Structure: relaxed

extended XYZ file:
```
5
Lattice="-5.189 2.800 1.560 1.378 -0.733 5.896 2.894 5.369 -0.009" Properties=species:S:1:pos:R:3 pbc="T T T"
Ba -0.459 3.718 3.724
Na 1.447 2.685 -0.005
Na 0.689 -0.366 2.948
Na -2.595 1.400 0.780
Te 0.000 0.000 0.000
```

Properties
* total magnetization: 0.73 μB/f.u.
* space group: Pm-3m, No. 221
* DOS at the Fermi energy: 5.1 states/eV per cell

Which structure is the most stable? The one labeled (x).

(w)
Compound: BaNaTe3
Source: the Alexandria database
Functional: PBE
Structure: relaxed

extended XYZ file:
```
20
Lattice="-0.568 -5.296 -3.028 1.119 -3.400 5.737 -17.217 -0.055 3.326" Properties=species:S:1:pos:R:3 pbc="T T T"
Te -2.512 -3.291 -0.836
Te -6.862 -2.196 2.030
Te -15.755 -4.872 2.179
Te -6.214 -6.913 1.724
Te -2.333 -6.368 0.043
Te -14.154 -5.460 6.873
Te -11.042 -2.579 1.249
Te -9.804 -6.555 4.006
Te -5.624 -6.172 4.787
Te -0.912 -3.879 3.857
Te -10.453 -1.838 4.312
Te -14.333 -2.383 5.993
Na -17.023 -2.229 3.993
Na 0.357 -6.522 2.043
Na -8.699 -4.849 0.816
Na -7.967 -3.902 5.220
Ba -4.012 -4.206 2.275
Ba -12.654 -4.545 3.761
Ba -4.321 -0.169 0.743
Ba -13.464 -5.182 -0.444
```

Properties
* total magnetization: 0.00 μB/f.u.
* space group: Pnna, No. 52
* DOS at the Fermi energy: 10.5 states/eV per cell

(x)
Compound: BaNaTe3
Source: the Alexandria database
Functional: PBE
Structure: relaxed

extended XYZ file:
```
5
Lattice="-3.286 4.489 0.954 -4.584 -3.270 -0.399 0.236 -1.007 5.549" Properties=species:S:1:pos:R:3 pbc="T T T"
Te -2.292 -1.635 -0.199
Te 0.118 -0.503 2.775
Te -1.643 2.245 0.477
Na 0.000 0.000 0.000
Ba -3.817 0.106 3.052
```

Properties
* total magnetization: 0.00 μB/f.u.
* space group: Pm-3m, No. 221
* DOS at the Fermi energy: 7.4 states/eV per cell

(y)
Compound: BaNaTe3
Source: the Alexandria database
Functional: PBE
Structure: relaxed

extended XYZ file:
```
5
Lattice="-3.170 5.452 1.860 -4.860 -1.391 -4.205 -3.094 -3.402 4.700" Properties=species:S:1:pos:R:3 pbc="T T T"
Te -1.547 -1.701 2.350
Te -2.430 -0.695 -2.103
Te -1.585 2.726 0.930
Ba 0.000 0.000 0.000
Na -5.562 0.330 1.177
```

Properties
* total magnetization: 2.97 μB/f.u.
* space group: Pm-3m, No. 221
* DOS at the Fermi energy: 3.1 states/eV per cell

Which structure is the most stable? The one labeled (w).

(w)
Compound: Ba2Na2Te
Source: the Alexandria database
Functional: PBE
Structure: relaxed

extended XYZ file:
```
10
Lattice="-8.421 1.704 0.729 0.038 -3.234 7.993 1.178 4.967 2.004" Properties=species:S:1:pos:R:3 pbc="T T T"
Ba -6.317 2.843 4.171
Ba -5.093 0.982 8.064
Ba -2.112 2.454 2.663
Ba -0.888 0.593 6.556
Na -7.294 -0.560 5.677
Na -1.089 -0.970 3.045
Na -5.309 0.651 1.507
Na -3.075 -2.182 7.215
Te -4.192 -0.765 4.361
Te 0.000 0.000 0.000
```

Properties
* total magnetization: 0.00 μB/f.u.
* space group: P4/mbm, No. 127
* DOS at the Fermi energy: 2.8 states/eV per cell

(x)
Compound: Ba2Na2Te
Source: the Alexandria database
Functional: PBE
Structure: relaxed

extended XYZ file:
```
10
Lattice="9.184 0.000 0.000 0.000 9.184 0.000 0.000 0.000 6.221" Properties=species:S:1:pos:R:3 pbc="T T T"
Te 4.592 4.592 0.000
Te 0.000 0.000 0.000
Na 5.827 7.949 3.110
Na 3.357 1.235 3.110
Na 7.949 3.357 3.110
Na 1.235 5.827 3.110
Ba 1.590 3.002 0.000
Ba 3.002 7.594 0.000
Ba 6.182 1.590 0.000
Ba 7.594 6.182 0.000
```

Properties
* total magnetization: 0.00 μB/f.u.
* space group: P4/mbm, No. 127
* DOS at the Fermi energy: 2.5 states/eV per cell

Which structure is the most stable? The one labeled (x).

(w)
Compound: BaNaVTe2
Source: the Alexandria database
Functional: PBE
Structure: relaxed

extended XYZ file:
```
5
Lattice="-2.347 4.281 2.870 -3.978 -3.247 1.591 3.001 -1.429 4.586" Properties=species:S:1:pos:R:3 pbc="T T T"
Ba -1.989 -1.624 0.796
V -1.662 -0.198 4.523
Te 1.500 -0.715 2.293
Te -1.173 2.141 1.435
Na 0.000 0.000 0.000
```

Properties
* total magnetization: 4.02 μB/f.u.
* space group: P4/mmm, No. 123
* DOS at the Fermi energy: 4.8 states/eV per cell

(x)
Compound: BaNaVTe2
Source: the Alexandria database
Functional: PBE
Structure: relaxed

extended XYZ file:
```
5
Lattice="-4.649 -4.305 -0.961 0.922 -2.191 5.354 -4.294 4.097 2.416" Properties=species:S:1:pos:R:3 pbc="T T T"
Ba 0.000 0.000 0.000
Te -2.147 2.049 1.208
Te -2.324 -2.152 -0.480
V -4.010 -1.199 3.405
Na 0.461 -1.095 2.677
```

Properties
* total magnetization: 0.28 μB/f.u.
* space group: P4/mmm, No. 123
* DOS at the Fermi energy: 6.5 states/eV per cell

Which structure is the most stable? The one labeled (w).

(w)
Compound: Ba2NaTi
Source: the Alexandria database
Functional: PBE
Structure: relaxed

extended XYZ file:
```
8
Lattice="9.390 0.000 0.000 0.000 9.390 0.000 4.695 4.695 3.703" Properties=species:S:1:pos:R:3 pbc="T T T"
Ba 2.225 7.042 0.926
Ba 11.737 11.860 2.777
Ba 7.042 6.919 2.777
Ba 7.165 2.347 0.926
Ti 9.390 4.695 1.851
Ti 0.000 0.000 0.000
Na 4.695 9.390 1.851
Na 4.695 4.695 0.000
```

Properties
* total magnetization: 0.07 μB/f.u.
* space group: I-42d, No. 122
* DOS at the Fermi energy: 15.6 states/eV per cell

(x)
Compound: Ba2NaTi
Source: the Alexandria database
Functional: PBE
Structure: relaxed

extended XYZ file:
```
4
Lattice="0.000 4.324 4.324 4.324 0.000 4.324 4.324 4.324 0.000" Properties=species:S:1:pos:R:3 pbc="T T T"
Ba 6.486 6.486 6.486
Ba 2.162 2.162 2.162
Na 0.000 0.000 0.000
Ti 4.324 4.324 4.324
```

Properties
* total magnetization: 0.00 μB/f.u.
* space group: Fm-3m, No. 225
* DOS at the Fermi energy: 8.9 states/eV per cell

Which structure is the most stable? The one labeled (x).

(w)
Compound: BaNaTi2
Source: the Alexandria database
Functional: PBE
Structure: relaxed

extended XYZ file:
```
8
Lattice="-2.552 2.699 -2.230 -3.194 -2.925 0.114 -6.788 4.555 9.071" Properties=species:S:1:pos:R:3 pbc="T T T"
Ti -4.052 -0.309 2.025
Ti -3.650 2.417 0.924
Ti -10.067 3.265 4.950
Ti -7.296 3.285 6.012
Na -6.427 0.759 4.063
Na -2.873 -0.113 -1.058
Ba -6.106 3.571 2.891
Ba 0.000 0.000 0.000
```

Properties
* total magnetization: 3.36 μB/f.u.
* space group: I-42d, No. 122
* DOS at the Fermi energy: 11.8 states/eV per cell

(x)
Compound: BaNaTi2
Source: the Alexandria database
Functional: PBE
Structure: relaxed

extended XYZ file:
```
4
Lattice="1.963 -4.066 2.989 -2.599 -4.748 0.152 2.151 -4.343 -2.415" Properties=species:S:1:pos:R:3 pbc="T T T"
Ba 0.758 -6.578 0.363
Ti 0.379 -3.289 0.182
Ti 1.136 -9.867 0.545
Na 0.000 0.000 0.000
```

Properties
* total magnetization: 4.35 μB/f.u.
* space group: Fm-3m, No. 225
* DOS at the Fermi energy: 8.4 states/eV per cell

Which structure is the most stable? The one labeled (w).

(w)
Compound: BaNa2Ti
Source: the Alexandria database
Functional: PBE
Structure: relaxed

extended XYZ file:
```
4
Lattice="4.283 0.018 4.006 1.903 5.077 2.236 -1.201 1.385 5.571" Properties=species:S:1:pos:R:3 pbc="T T T"
Ba 2.492 3.239 5.907
Na 3.739 4.859 8.860
Na 1.246 1.620 2.953
Ti 0.000 0.000 0.000
```

Properties
* total magnetization: 2.77 μB/f.u.
* space group: Fm-3m, No. 225
* DOS at the Fermi energy: 4.4 states/eV per cell

(x)
Compound: BaNa2Ti
Source: the Alexandria database
Functional: PBE
Structure: relaxed

extended XYZ file:
```
8
Lattice="4.831 0.000 0.000 0.000 4.831 0.000 2.416 2.416 12.980" Properties=species:S:1:pos:R:3 pbc="T T T"
Ti 2.416 4.831 6.490
Ti 2.416 2.416 0.000
Na 3.623 3.791 9.735
Na 3.456 1.208 3.245
Na 1.375 3.623 3.245
Na 6.039 5.872 9.735
Ba 4.831 2.416 6.490
Ba 0.000 0.000 0.000
```

Properties
* total magnetization: 2.85 μB/f.u.
* space group: I-42d, No. 122
* DOS at the Fermi energy: 13.0 states/eV per cell

Which structure is the most stable? The one labeled (w).